Entry 1:
This record from Alexandria via LeMat-Bulk describes a geometry-optimized KSiTc2 structure. The functional is PBE.

Results
**Raw formation energy**: 797 meV per atom
**Fermi-level density of states**: 1.941 states/eV/f.u.
**Magnetic moment**: 0.00 μB/cell
**Uncorrected energy**: -6.017 eV per atom

Unit cell a=4.643 b=2.667 c=6.828 alpha=93.90 beta=90.00 gamma=90.00
Element x y z (fractional)
K: 0.500 0.250 0.250
Si: 0.500 0.750 0.750
Tc: 0.000 0.793 0.914
Tc: 0.000 0.707 0.586

Entry 2:
This record from Alexandria via LeMat-Bulk describes a geometry-optimized Cs2AlCoIr structure. The functional is PBE.

Results
**Fermi-level density of states**: 15.841 states/eV/f.u.
**Magnetic moment**: 2.40 μB/cell
**Energy relative to the elements**: 107.3 kJ/mol of atoms
**Uncorrected energy**: -3.171 eV per atom

Unit cell a=7.037 b=4.611 c=7.037 alpha=90.00 beta=90.00 gamma=90.00
Each line ends with the local moment (μB).
Element x y z (fractional)
Cs: 0.000 0.000 0.500  0.00
Cs: 0.500 0.000 0.000  0.00
Ir: 0.000 0.500 0.000  0.17
Co: 0.500 0.500 0.500  2.18
Al: 0.000 0.000 0.000  0.00

Entry 3:
This record from Alexandria via LeMat-Bulk describes a geometry-optimized BiTe2Cl2 structure. The functional is PBE.

Results
**Raw formation energy**: -454 meV per atom
**Fermi-level density of states**: 0.070 states/eV/f.u.
**Magnetic moment**: 0.00 μB/cell
**Uncorrected energy**: -3.225 eV per atom

Unit cell a=7.026 b=8.282 c=7.371 alpha=95.27 beta=102.52 gamma=64.90
Element x y z (fractional)
Bi: 0.168 0.664 0.000
Bi: 0.832 0.336 0.000
Te: 0.091 0.000 0.346
Te: 0.737 0.000 0.079
Te: 0.263 0.000 0.921
Te: 0.909 0.000 0.654
Cl: 0.419 0.451 0.765
Cl: 0.581 0.549 0.235
Cl: 0.869 0.549 0.765
Cl: 0.131 0.451 0.235

Entry 4:
This record from Alexandria via LeMat-Bulk describes a geometry-optimized Zr2ZnCu structure. The functional is PBE.

Results
**Fermi-level density of states**: 2.373 states/eV/f.u.
**Magnetic moment**: 0.00 μB/cell
**Energy relative to the elements**: 4.7 kJ/mol of atoms
**Uncorrected energy**: -5.568 eV per atom

Unit cell a=8.714 b=8.714 c=8.714 alpha=21.49 beta=21.49 gamma=21.49
Element x y z (fractional)
Cu: 0.493 0.493 0.493
Zn: 0.760 0.760 0.760
Zr: 0.005 0.005 0.005
Zr: 0.241 0.241 0.241

Entry 5:
This record from Alexandria via LeMat-Bulk describes a geometry-optimized NbB2H6 structure. The functional is PBE.

Results
**Fermi-level density of states**: 4.090 states/eV/f.u.
**Magnetic moment**: 0.00 μB/cell
**Uncorrected energy**: -3.724 eV per atom

Unit cell a=4.289 b=4.289 c=4.289 alpha=60.00 beta=60.00 gamma=60.00
Element x y z (fractional)
Nb: 0.000 0.000 0.000
B: 0.750 0.750 0.750
B: 0.250 0.250 0.250
H: 0.301 0.699 0.699
H: 0.699 0.699 0.301
H: 0.699 0.301 0.699
H: 0.699 0.301 0.301
H: 0.301 0.301 0.699
H: 0.301 0.699 0.301

Entry 6:
This record from Alexandria via LeMat-Bulk describes a geometry-optimized PrSmMgZn structure. The functional is PBE.

Results
**Fermi-level density of states**: 3.586 states/eV/f.u.
**Magnetic moment**: 0.00 μB/cell
**Energy relative to the elements**: -17.4 kJ/mol of atoms
**Uncorrected energy**: -3.272 eV per atom

Unit cell a=5.331 b=5.331 c=5.331 alpha=60.00 beta=60.00 gamma=60.00
Element x y z (fractional)
Pr: 0.250 0.250 0.250
Zn: 0.500 0.500 0.500
Mg: 0.000 0.000 0.000
Sm: 0.750 0.750 0.750

Entry 7:
This record from Alexandria via LeMat-Bulk describes a geometry-optimized HoScBi2 structure. The functional is PBE.

Results
**Fermi-level density of states**: 0.860 states/eV/f.u.
**Magnetic moment**: 0.00 μB/cell
**Energy relative to the elements**: -71.8 kJ/mol of atoms
**Uncorrected energy**: -5.412 eV per atom

Unit cell a=4.365 b=4.365 c=7.559 alpha=73.22 beta=73.22 gamma=60.00
Element x y z (fractional)
Sc: 0.000 0.000 0.000
Bi: 0.254 0.254 0.237
Bi: 0.746 0.746 0.763
Ho: 0.500 0.500 0.500

Entry 8:
This record from Alexandria via LeMat-Bulk describes a geometry-optimized ZnPbSe2O8 structure. The functional is PBE.

Results
**Raw formation energy**: -863 meV per atom
**Fermi-level density of states**: 0.000 states/eV/f.u.
**Magnetic moment**: 0.00 μB/cell
**Uncorrected energy**: -5.164 eV per atom

Unit cell a=5.041 b=5.041 c=8.021 alpha=71.69 beta=71.69 gamma=60.00
Element x y z (fractional)
Zn: 0.000 0.000 0.000
Pb: 0.500 0.500 0.500
Se: 0.255 0.255 0.234
Se: 0.745 0.745 0.766
O: 0.180 0.180 0.459
O: 0.598 0.272 0.171
O: 0.820 0.820 0.541
O: 0.958 0.598 0.171
O: 0.042 0.402 0.829
O: 0.272 0.958 0.171
O: 0.728 0.042 0.829
O: 0.402 0.728 0.829

Entry 9:
This record from Alexandria via LeMat-Bulk describes a geometry-optimized ScBe2BiC structure. The functional is PBE.

Results
**Fermi-level density of states**: 3.507 states/eV/f.u.
**Magnetic moment**: 0.38 μB/cell
**Energy relative to the elements**: 240.3 kJ/mol of atoms
**Uncorrected energy**: -2.887 eV per atom

Unit cell a=4.861 b=5.582 c=4.861 alpha=90.00 beta=90.00 gamma=90.00
Each line ends with the local moment (μB).
Element x y z (fractional)
Sc: 0.000 0.000 0.000  -0.39
Be: 0.000 0.000 0.500  -0.04
Be: 0.500 0.000 0.000  -0.10
C: 0.500 0.500 0.500  0.72
Bi: 0.000 0.500 0.000  -0.21

Entry 10:
This record from Alexandria via LeMat-Bulk describes a geometry-optimized NaLiPa2Se5 structure. The functional is PBE.

Results
**Raw formation energy**: -1314 meV per atom
**Fermi-level density of states**: 4.959 states/eV/f.u.
**Magnetic moment**: 4.03 μB/cell
**Uncorrected energy**: -5.719 eV per atom

Unit cell a=7.885 b=7.885 c=9.186 alpha=115.41 beta=115.41 gamma=90.00
Each line ends with the local moment (μB).
Element x y z (fractional)
Na: 0.250 0.250 0.500  0.00
Na: 0.750 0.750 0.500  0.00
Li: 0.250 0.750 0.500  0.00
Li: 0.750 0.250 0.500  0.00
Pa: 0.157 0.343 0.000  0.97
Pa: 0.657 0.157 0.000  0.97
Pa: 0.343 0.843 0.000  0.97
Pa: 0.843 0.657 0.000  0.97
Se: 0.977 0.477 0.253  -0.03
Se: 0.723 0.223 0.747  -0.03
Se: 0.023 0.523 0.747  -0.03
Se: 0.223 0.023 0.747  -0.03
Se: 0.523 0.723 0.747  -0.03
Se: 0.777 0.977 0.253  -0.03
Se: 0.477 0.277 0.253  -0.03
Se: 0.277 0.777 0.253  -0.03
Se: 0.500 0.500 0.000  -0.04
Se: 0.000 0.000 0.000  -0.04

Entry 11:
This record from Alexandria via LeMat-Bulk describes a geometry-optimized Rb5SmO4 structure. The functional is PBE.

Results
**Raw formation energy**: -1609 meV per atom
**Fermi-level density of states**: 0.000 states/eV/f.u.
**Magnetic moment**: 0.01 μB/cell
**Uncorrected energy**: -4.548 eV per atom

Unit cell a=6.671 b=9.221 c=8.661 alpha=90.00 beta=90.00 gamma=90.00
Element x y z (fractional)
Rb: 0.742 0.189 0.237
Rb: 0.742 0.189 0.763
Rb: 0.178 0.000 0.500
Rb: 0.742 0.811 0.237
Rb: 0.742 0.811 0.763
Rb: 0.258 0.689 0.263
Rb: 0.258 0.689 0.737
Rb: 0.822 0.500 0.000
Rb: 0.258 0.311 0.737
Rb: 0.258 0.311 0.263
Sm: 0.215 0.000 0.000
Sm: 0.785 0.500 0.500
O: 0.034 0.206 0.000
O: 0.392 0.000 0.219
O: 0.392 0.000 0.781
O: 0.034 0.794 0.000
O: 0.966 0.706 0.500
O: 0.608 0.500 0.281
O: 0.608 0.500 0.719
O: 0.966 0.294 0.500

Entry 12:
This record from Alexandria via LeMat-Bulk describes a geometry-optimized CsTl2ZnAg structure. The functional is PBE.

Results
**Fermi-level density of states**: 2.614 states/eV/f.u.
**Magnetic moment**: 0.00 μB/cell
**Energy relative to the elements**: 13.8 kJ/mol of atoms
**Uncorrected energy**: -1.799 eV per atom

Unit cell a=5.703 b=5.703 c=5.316 alpha=90.00 beta=90.00 gamma=90.00
Element x y z (fractional)
Cs: 0.500 0.500 0.500
Tl: 0.000 0.500 0.000
Tl: 0.500 0.000 0.000
Zn: 0.000 0.000 0.500
Ag: 0.000 0.000 0.000

Entry 13:
This record from Alexandria via LeMat-Bulk describes a geometry-optimized Pr5HoGa6 structure. The functional is PBE.

Results
**Fermi-level density of states**: 5.707 states/eV/f.u.
**Magnetic moment**: 0.00 μB/cell
**Energy relative to the elements**: -52.7 kJ/mol of atoms
**Uncorrected energy**: -4.433 eV per atom

Unit cell a=5.227 b=7.392 c=8.276 alpha=90.00 beta=71.66 gamma=90.00
Element x y z (fractional)
Pr: 0.670 0.500 0.660
Pr: 0.335 0.000 0.331
Pr: 0.000 0.500 0.000
Pr: 0.665 0.000 0.669
Pr: 0.330 0.500 0.340
Ho: 0.000 0.000 0.000
Ga: 0.838 0.757 0.325
Ga: 0.838 0.243 0.325
Ga: 0.500 0.245 0.000
Ga: 0.500 0.755 0.000
Ga: 0.162 0.757 0.675
Ga: 0.162 0.243 0.675

Entry 14:
This record from Alexandria via LeMat-Bulk describes a geometry-optimized AlRuCl structure. The functional is PBE.

Results
**Raw formation energy**: 723 meV per atom
**Fermi-level density of states**: 2.515 states/eV/f.u.
**Magnetic moment**: 0.89 μB/cell
**Uncorrected energy**: -4.232 eV per atom

Unit cell a=4.290 b=4.290 c=4.290 alpha=60.00 beta=60.00 gamma=60.00
Each line ends with the local moment (μB).
Element x y z (fractional)
Ru: 0.500 0.500 0.500  0.82
Al: 0.250 0.250 0.250  -0.03
Cl: 0.000 0.000 0.000  0.05